Compound: Pu2Ag3O8
Source: Alexandria via LeMat-Bulk
Functional: PBE
Structure: relaxed

Cell and atoms, written as extended XYZ:
```
13
Lattice="-3.7149 -0.5862 5.6276 -5.8543 1.0835 -3.7516 4.1210 -5.1866 -1.3286" Properties=species:S:1:pos:R:3 pbc="T T T"
O -0.2883 -2.9570 -0.4041
O -5.1599 -1.7323 0.9515
O -2.2106 -2.7652 2.6510
O -2.3632 -1.0357 0.4491
O -3.2376 -1.9241 -2.1036
O 0.1620 -4.2546 2.1790
O -5.6102 -0.4347 -1.6317
O -3.0850 -3.6536 0.0982
Ag -1.2415 0.2298 -0.7956
Ag -1.8574 -0.2931 2.8138
Ag -4.6128 0.8538 -2.9561
Pu -4.2072 -1.8413 -0.5667
Pu -1.2410 -2.8480 1.1141
```

=====

Compound: PuAgO3
Source: Alexandria via LeMat-Bulk
Functional: PBE
Structure: relaxed

Cell and atoms, written as extended XYZ:
```
20
Lattice="6.6731 0.0000 0.0000 0.0000 6.6731 0.0000 0.0000 0.0000 6.6731" Properties=species:S:1:pos:R:3 pbc="T T T"
Ag 2.6298 4.0433 0.7068
Ag 0.7068 2.6298 4.0433
Ag 4.0433 0.7068 2.6298
Ag 5.9663 5.9663 5.9663
O 3.4051 5.3026 5.5756
O 5.5756 3.4051 5.3026
O 4.4341 3.2679 1.9660
O 1.9660 4.4341 3.2679
O 3.2679 1.9660 4.4341
O 0.0686 4.7070 1.0975
O 1.3705 2.2390 6.6045
O 2.2390 6.6045 1.3705
O 1.0975 0.0686 4.7070
O 4.7070 1.0975 0.0686
O 5.3026 5.5756 3.4051
O 6.6045 1.3705 2.2390
Pu 2.6938 0.6427 6.0304
Pu 0.6427 6.0304 2.6938
Pu 6.0304 2.6938 0.6427
Pu 3.9793 3.9793 3.9793
```

=====

Compound: Pu3AgO8
Source: Alexandria via LeMat-Bulk
Functional: PBE
Structure: relaxed

Cell and atoms, written as extended XYZ:
```
12
Lattice="6.0822 0.0000 3.2832 2.1550 5.6877 3.2832 0.1813 0.1252 6.9394" Properties=species:S:1:pos:R:3 pbc="T T T"
Pu 4.1186 2.8438 3.2832
Pu 1.0775 2.8438 1.6416
Pu 3.0411 0.0000 1.6416
Ag 4.2093 2.9065 6.7529
O 3.6161 4.2857 4.7530
O 4.8025 1.5272 8.7528
O 5.2888 1.8631 4.7530
O 6.2067 4.2857 6.1515
O 2.2835 1.5767 3.0452
O 2.2118 1.5272 7.3544
O 6.1350 4.2362 10.4607
O 3.1297 3.9498 8.7528
```

=====

4
Lattice="3.2687 0.0000 0.0000 1.6344 2.8308 0.0000 1.6344 0.9436 9.3151" Properties=species:S:1:pos:R:3 comment="Pu2AgO PBE relaxed" e_above_lowest_polymorph_ev_per_atom=0.003 pbc="T T T"
Ag 0.0000 0.0000 0.0000
Pu 1.6344 0.9436 6.2090
Pu 4.9031 2.8308 3.1060
O 3.2687 1.8872 4.6575

=====

Compound: PuAgO3
Source: Alexandria via LeMat-Bulk
Functional: PBE
Structure: relaxed

Cell and atoms, written as extended XYZ:
```
10
Lattice="5.9409 0.0000 0.0000 -2.9704 5.1450 0.0000 0.0000 0.0000 5.9025" Properties=species:S:1:pos:R:3 pbc="T T T"
O -1.8509 3.2059 4.0327
O -1.1195 1.9391 1.8698
O 3.7018 0.0000 4.0327
O 2.2390 0.0000 1.8698
O 1.1195 1.9391 4.0327
O 1.8509 3.2059 1.8698
Pu 0.0000 3.4300 2.9512
Pu 2.9704 1.7150 2.9512
Ag 0.0000 0.0000 4.4589
Ag 0.0000 0.0000 1.4435
```

=====

4
Lattice="3.1020 0.0000 0.0000 0.0000 3.1020 0.0000 0.0000 0.0000 7.9301" Properties=species:S:1:pos:R:3 comment="Pu2AgO PBE relaxed" e_above_lowest_polymorph_ev_per_atom=0.000 pbc="T T T"
Pu 0.0000 0.0000 1.5679
Pu 0.0000 0.0000 6.3622
O 1.5510 1.5510 0.0000
Ag 1.5510 1.5510 3.9651

=====

Compound: RbPuAgO4
Source: Alexandria via LeMat-Bulk
Functional: PBE
Structure: relaxed

Cell and atoms, written as extended XYZ:
```
14
Lattice="-1.0275 4.2052 -1.3695 0.1315 -1.4806 -4.2902 -13.2184 -3.0220 0.6377" Properties=species:S:1:pos:R:3 pbc="T T T"
O -11.7441 -3.3941 -3.3315
O -2.3702 3.0968 -1.6905
O -5.9817 2.2712 -1.5163
O -10.4539 -0.8654 -4.0782
O -3.6604 0.5681 -0.9438
O -4.1037 1.9163 -3.7443
O -8.1326 -2.5684 -3.5057
O -10.0106 -2.2136 -1.2777
Pu -4.1753 2.6809 -1.6050
Pu -9.9390 -2.9782 -3.4170
Rb -0.4480 1.3623 -2.8298
Rb -7.0572 -0.1486 -2.5110
Ag -3.5883 -0.1988 -3.0843
Ag -10.5260 -0.0985 -1.9377
```

=====

Compound: RbPuAgO5
Source: Alexandria via LeMat-Bulk
Functional: PBE
Structure: relaxed

Cell and atoms, written as extended XYZ:
```
16
Lattice="-2.4239 -4.5585 3.7739 2.7639 -2.4595 -5.2162 6.5372 2.4007 4.3328" Properties=species:S:1:pos:R:3 pbc="T T T"
Ag 6.0082 -1.3300 0.9076
Ag 0.8690 -3.2872 1.9828
O 7.8909 -0.1456 0.4328
O 4.1268 -1.9691 -3.6628
O 1.2231 -2.7212 4.1570
O 5.6541 -1.8960 -1.2666
O 4.0701 -0.4947 1.7259
O -1.0137 -4.4717 2.4576
O 2.7504 -2.6481 6.5532
O 6.4976 -2.7514 2.5998
O 0.3796 -1.8658 0.2906
O 2.8071 -4.1225 1.1646
Pu 3.2686 1.2004 2.1664
Pu 0.0000 0.0000 0.0000
Rb 2.7219 -2.5375 -1.2281
Rb 4.1553 -2.0797 4.1186
```

=====

Compound: Rb2PuAg2O6
Source: Alexandria via LeMat-Bulk
Functional: PBE
Structure: relaxed

Cell and atoms, written as extended XYZ:
```
11
Lattice="5.8116 0.4777 -0.1435 -2.4572 5.2883 -0.1435 -1.4309 -2.4595 6.6278" Properties=species:S:1:pos:R:3 pbc="T T T"
O 1.6626 2.8579 4.0245
O 1.1406 4.7488 1.7395
O -1.6409 -0.0323 4.6014
O 0.2610 0.4486 2.3164
O 3.5644 3.3387 1.7395
O 0.7829 -1.4424 4.6014
Rb 4.2749 1.3717 -0.1435
Rb -0.9204 4.3942 -0.1435
Ag -0.3821 2.4350 3.1704
Ag 2.3057 0.8714 3.1704
Pu -0.7154 -1.2298 3.3139
```

=====

Compound: RbPu2AgO8
Source: Alexandria via LeMat-Bulk
Functional: PBE
Structure: relaxed

Cell and atoms, written as extended XYZ:
```
12
Lattice="-1.4748 1.8835 -5.5020 -3.8846 -3.2740 3.1915 -2.6497 5.7576 2.6812" Properties=species:S:1:pos:R:3 pbc="T T T"
O -4.4551 -1.7161 1.5447
O -4.8606 2.3115 2.0942
O -3.8643 -0.3217 -0.8659
O -1.9426 -0.4145 1.2324
O -3.1484 2.0556 -1.7234
O -4.1448 4.6888 1.2367
O -6.0665 4.7816 -0.8616
O -3.5540 6.0833 -1.1739
Rb -1.3249 2.8788 1.3406
Pu -5.5758 3.8656 2.8179
Pu -2.4332 0.5016 -2.4471
Ag 0.0000 0.0000 0.0000
```

=====

Compound: Rb2Pu3AgO12
Source: Alexandria via LeMat-Bulk
Functional: PBE
Structure: relaxed

Cell and atoms, written as extended XYZ:
```
18
Lattice="-3.7975 5.1802 -3.9432 -1.4258 -1.7400 -7.1933 -7.1639 -1.6980 -1.6122" Properties=species:S:1:pos:R:3 pbc="T T T"
O -1.8942 -0.7762 -5.0260
O -4.9773 -0.7537 -2.0273
O -4.6371 -0.5435 -8.3006
O -7.4099 2.4959 -10.7215
O -4.2144 2.2599 -7.8871
O -10.4930 2.5184 -7.7228
O -8.1728 -0.5177 -4.8616
O -6.2888 -1.9783 -6.4508
O -9.2187 -1.1998 -9.4690
O -6.0984 3.7206 -6.2980
O -7.7501 2.2857 -4.4482
O -3.1685 2.9420 -3.2798
Ag 0.0000 0.0000 0.0000
Pu -3.5820 -0.8490 -0.8061
Pu -1.8987 2.5901 -1.9716
Pu -0.7129 -0.8700 -3.5967
Rb -4.6974 0.6607 -4.8345
Rb -7.6898 1.0816 -7.9143
```

=====

Compound: Rb3Pu2AgO9
Source: Alexandria via LeMat-Bulk
Functional: PBE
Structure: relaxed

Cell and atoms, written as extended XYZ:
```
15
Lattice="-1.4552 4.9890 3.2845 2.4479 -4.9055 2.7821 6.9801 2.8134 -1.1809" Properties=species:S:1:pos:R:3 pbc="T T T"
Rb 2.2900 2.6760 2.7035
Rb 0.0000 0.0000 0.0000
Rb 5.6828 0.2209 2.1822
Pu 2.2481 -1.1635 2.7633
Pu 5.7247 4.0604 2.1224
O 4.7657 2.8880 0.8991
O 0.4963 0.0418 3.0333
O -0.7276 2.4945 1.6423
O 4.1134 5.1244 2.3715
O 2.7621 -0.0286 1.2671
O 1.2239 -2.4528 1.3910
O 5.2107 2.9255 3.6186
O 3.8594 -2.2275 2.5142
O 3.2071 0.0089 3.9866
Ag 3.4901 1.4067 -0.5905
```

=====

Compound: Rb2PuAgO4
Source: Alexandria via LeMat-Bulk
Functional: PBE
Structure: relaxed

Cell and atoms, written as extended XYZ:
```
8
Lattice="3.7466 0.0000 0.0000 0.0000 6.1466 0.8939 0.0000 -1.2967 6.5584" Properties=species:S:1:pos:R:3 pbc="T T T"
O 1.8733 3.0781 5.5867
O 0.0000 4.1185 1.5083
O 0.0000 0.7313 5.9440
O 1.8733 1.7717 1.8656
Rb 0.0000 2.4249 3.7261
Rb 1.8733 -0.6484 3.2792
Pu 1.8733 3.0733 0.4470
Ag 0.0000 0.0000 0.0000
```

=====

Compound: PuAgRhO6
Source: Alexandria via LeMat-Bulk
Functional: PBE
Structure: relaxed

Cell and atoms, written as extended XYZ:
```
18
Lattice="-1.9373 -4.5813 1.7973 4.6187 1.8165 1.8272 -4.7794 4.8636 7.2457" Properties=species:S:1:pos:R:3 pbc="T T T"
Pu -0.9468 -1.2328 3.6187
Pu -1.1511 3.3317 7.2515
O 1.2493 2.9149 3.8015
O 0.9820 1.3110 1.6651
O -3.1709 3.1940 7.5301
O 3.2540 0.8621 3.4651
O -5.3520 1.2368 7.4052
O 1.6341 0.6244 5.5929
O -3.7320 1.4745 5.2774
O -3.3472 -0.8160 7.0687
O -1.3368 1.3172 6.9629
O -0.7612 0.7817 3.9073
O -3.0800 0.7879 9.2051
O 1.0730 -1.0951 3.3402
Ag -2.3897 2.4318 3.6229
Ag 0.0000 0.0000 0.0000
Rh 1.2385 0.8998 3.6287
Rh -3.3365 1.1991 7.2416
```

=====

Compound: Pu2AgRuO8
Source: Alexandria via LeMat-Bulk
Functional: PBE
Structure: relaxed

Cell and atoms, written as extended XYZ:
```
12
Lattice="-4.8622 1.2278 2.7282 3.9772 -3.2003 2.5555 2.5331 4.9678 2.2789" Properties=species:S:1:pos:R:3 pbc="T T T"
Pu -0.9167 1.7110 3.5694
Pu 2.5648 1.2842 3.9932
O 3.3394 2.8033 4.6900
O 0.7476 2.0317 5.1211
O 1.4154 -0.4545 4.9606
O 0.2328 3.4497 2.6020
O -1.6913 0.1919 2.8725
O -1.7735 3.4894 4.7456
O 3.4216 -0.4942 2.8170
O 0.9006 0.9636 2.4415
Ag 0.0000 0.0000 0.0000
Ru 1.2666 2.4839 1.1394
```

=====

Compound: PuAgRuO6
Source: Alexandria via LeMat-Bulk
Functional: PBE
Structure: relaxed

Cell and atoms, written as extended XYZ:
```
18
Lattice="5.3288 0.0000 0.0000 -2.6644 4.6149 0.0000 0.0000 0.0000 9.8158" Properties=species:S:1:pos:R:3 pbc="T T T"
Ru 0.0000 3.0766 2.4539
Ru 2.6644 1.5383 7.3618
O 3.4142 0.0528 8.4500
O 4.3258 1.6317 6.2737
O -0.7498 4.5621 1.3658
O 1.9146 0.0528 6.2737
O 1.7528 2.9304 6.2737
O 1.0030 1.6317 8.4500
O 3.5760 2.9304 8.4500
O -1.6614 2.9832 3.5421
O -0.9116 1.6844 1.3658
O 0.7498 4.5621 3.5421
O 1.6614 2.9832 1.3658
O 0.9116 1.6844 3.5421
Pu 0.0000 3.0766 7.3618
Pu 2.6644 1.5383 2.4539
Ag 0.0000 0.0000 0.0000
Ag 0.0000 0.0000 4.9079
```

=====

Compound: PuAg2SO6
Source: Alexandria via LeMat-Bulk
Functional: PBE
Structure: relaxed

Cell and atoms, written as extended XYZ:
```
10
Lattice="5.5422 0.0822 0.2132 2.8401 4.9505 -0.0116 2.9682 1.5598 6.7776" Properties=species:S:1:pos:R:3 pbc="T T T"
Ag 5.7232 3.4003 5.8166
Ag 2.7785 1.8063 4.7766
O 2.5941 2.8316 2.0715
O 3.8506 3.7499 4.5906
O 6.1547 1.6068 4.4262
O 4.3389 1.0912 1.8242
O 1.9549 0.4471 1.8869
O 6.7779 4.8664 4.4709
S 2.9338 1.5055 1.4016
Pu 8.4716 4.9453 3.4638
```

=====

Compound: PuAgSbO6
Source: Alexandria via LeMat-Bulk
Functional: PBE
Structure: relaxed

Cell and atoms, written as extended XYZ:
```
18
Lattice="-0.8263 4.6566 2.8622 -3.8114 -1.7415 -3.6054 -4.4638 -5.2520 7.2557" Properties=species:S:1:pos:R:3 pbc="T T T"
O -4.7026 -0.7859 -1.5169
O -5.7903 -1.4859 4.2090
O -2.0471 -1.3407 -0.2848
O -3.5865 1.0799 0.5203
O -5.0539 0.6187 6.1854
O -4.0476 -2.9556 0.3272
O -3.2025 -1.6594 5.6755
O -5.5151 -3.4169 5.9922
O -4.3990 -1.5510 8.0295
O -7.0544 -0.9963 6.7974
O -3.3112 -0.8511 2.3035
O -5.8990 -0.6776 0.8371
Ag 0.0000 0.0000 0.0000
Ag -2.2319 -2.6260 3.6279
Pu -2.9373 1.2109 2.5203
Pu -6.1642 -3.5478 3.9923
Sb -3.9323 -0.9218 0.3644
Sb -5.1692 -1.4151 6.1482
```

=====

Compound: PuScAg2O8
Source: Alexandria via LeMat-Bulk
Functional: PBE
Structure: relaxed

Cell and atoms, written as extended XYZ:
```
12
Lattice="-4.2221 -1.4622 3.9686 -1.8560 -2.8258 -4.9278 5.4950 -1.6122 1.7085" Properties=species:S:1:pos:R:3 pbc="T T T"
O -3.0567 -2.7025 3.0356
O 0.8965 -4.1285 -0.0206
O -4.1320 -3.6429 0.3512
O -1.0461 -2.0215 -0.8602
O 0.8042 -2.2356 3.9909
O 0.2808 -0.9714 1.6566
O -1.5605 -4.5273 1.7119
O 3.1155 -2.0074 2.0280
Ag -3.0390 -2.1440 -0.4796
Ag -0.8830 -2.6092 2.5987
Pu 0.0000 0.0000 0.0000
Sc 0.3000 -3.2910 -1.8495
```

=====

Compound: PuSc2AgO8
Source: Alexandria via LeMat-Bulk
Functional: PBE
Structure: relaxed

Cell and atoms, written as extended XYZ:
```
12
Lattice="4.8788 -0.1652 -0.1828 -0.1454 4.8766 0.1800 -0.2478 0.2572 6.6782" Properties=species:S:1:pos:R:3 pbc="T T T"
O 1.3340 1.5742 3.3394
O 3.1517 3.3943 3.3361
O 3.9039 0.8213 1.5300
O 0.8781 3.8407 1.3657
O 3.0631 3.5617 6.6757
O 1.4225 1.4069 -0.0002
O 0.5817 4.1472 5.1455
O 3.6076 1.1278 5.3097
Sc 2.0596 2.6703 4.9154
Sc 2.4261 2.2982 1.7600
Ag -0.1239 0.1286 3.3391
Pu 0.0000 0.0000 0.0000
```

=====

Respective energy values: -7.437, -8.267, -9.413, -9.943, -8.295, -9.946, -7.272, -7.008, -6.133, -7.735, -8.043, -7.243, -6.640, -7.388, -8.285, -7.684, -6.659, -7.198, -6.772, -8.058 eV/atom.
Respective energy relative to the elements, uncorrected values: -1.523, -1.856, -2.287, -0.825, -1.883, -0.828, -1.845, -1.640, -1.431, -1.722, -2.083, -1.974, -1.772, -1.357, -1.580, -1.438, -1.268, -1.525, -1.270, -2.265 eV/atom.